Version 1
The following is a GGA-PBE calculation of a relaxed structure of Sm2CoHg, from the Alexandria database.

Properties
Fermi-level density of states: 2.7 states/eV per cell
theoretical density: 9.80 g/cm3

abc: 3.514 3.514 7.687
angles: 90.00 90.00 90.00
Last column: magnetic moment on the atom in μB.
Sites, in units of the cell vectors:
Sm (0.000, 0.000, 0.783)  -0.10
Co (0.500, 0.500, 0.000)  1.00
Hg (0.500, 0.500, 0.500)  0.00
Sm (0.000, 0.000, 0.217)  -0.10

Version 2
The following is a GGA-PBE calculation of a relaxed structure of Sm2CoHg, from the Alexandria database.

Properties
Fermi-level density of states: 2.6 states/eV per cell
theoretical density: 8.84 g/cm3

abc: 3.962 3.962 8.069
angles: 75.79 75.79 60.00
Sites, in units of the cell vectors:
Sm (0.269, 0.269, 0.192)
Hg (0.501, 0.501, 0.498)
Co (0.666, 0.666, 0.003)
Sm (0.065, 0.065, 0.806)

Of the structures shown above, version 2 is the least stable.